1.
Computed, not measured: an optimized crystal structure of Sr3AgO at the GGA-PBEsol level of DFT. Values from VASP.

Results
- Formation energy without anion corrections: -1143 meV/atom
- Space-group type: No. 221
- DOS(E_F): 0.4812 states/eV/atom
- Energy above the most stable polymorph in this dataset: 0 meV/atom

```
&SYSTEM
  ibrav = 0, nat = 5, ntyp = 3
/
ATOMIC_SPECIES
Sr 87.62 Sr.upf
Ag 107.87 Ag.upf
O 16.00 O.upf
ATOMIC_POSITIONS crystal
Sr 0.5000 0.0000 0.0000
Sr 0.0000 0.5000 0.0000
Sr 0.0000 0.0000 0.5000
Ag 0.5000 0.5000 0.5000
O 0.0000 0.0000 0.0000
CELL_PARAMETERS angstrom
-4.6068 2.1801 0.3041
-0.3641 -0.0591 -5.0924
-2.1709 -4.6165 0.2088
```



2.
Computed, not measured: an optimized crystal structure of TbTa5Ag2O15 at the GGA-PBEsol level of DFT. Values from VASP.

Results
- Formation energy without anion corrections: -2533 meV/atom
- Space-group type: No. 127
- DOS(E_F): 0.0000 states/eV/atom

```
&SYSTEM
  ibrav = 0, nat = 46, ntyp = 4
/
ATOMIC_SPECIES
Tb 158.93 Tb.upf
O 16.00 O.upf
Ta 180.95 Ta.upf
Ag 107.87 Ag.upf
ATOMIC_POSITIONS crystal
Tb 0.5000 0.5000 0.5000
Tb 0.5000 0.0000 0.0000
O 0.0000 0.6594 0.0017
O 0.0000 0.9983 0.6594
O 0.5000 0.6874 0.4213
O 0.5000 0.8126 0.9213
O 0.5000 0.3126 0.5787
O 0.0000 0.5572 0.3701
O 0.0000 0.2743 0.2257
O 0.0000 0.4983 0.8406
O 0.0000 0.4428 0.6299
O 0.5000 0.5000 0.0000
O 0.5000 0.9213 0.1874
O 0.5000 0.5787 0.6874
O 0.0000 0.0017 0.3406
O 0.0000 0.7743 0.2743
O 0.0000 0.8406 0.5017
O 0.5000 0.4213 0.3126
O 0.0000 0.7257 0.7743
O 0.5000 0.1874 0.0787
O 0.0000 0.1594 0.4983
O 0.0000 0.5017 0.1594
O 0.0000 0.8701 0.0572
O 0.0000 0.0572 0.1299
O 0.0000 0.2257 0.7257
O 0.0000 0.3406 0.9983
O 0.5000 0.0787 0.8126
O 0.5000 0.0000 0.5000
O 0.0000 0.9428 0.8701
O 0.0000 0.6299 0.5572
O 0.0000 0.1299 0.9428
O 0.0000 0.3701 0.4428
Ta 0.0000 0.4187 0.2906
Ta 0.0000 0.2094 0.0813
Ta 0.0000 0.0000 0.5000
Ta 0.0000 0.7094 0.4187
Ta 0.0000 0.9187 0.2094
Ta 0.0000 0.5813 0.7094
Ta 0.0000 0.5000 0.0000
Ta 0.0000 0.7906 0.9187
Ta 0.0000 0.0813 0.7906
Ta 0.0000 0.2906 0.5813
Ag 0.5000 0.8437 0.6563
Ag 0.5000 0.1563 0.3437
Ag 0.5000 0.3437 0.8437
Ag 0.5000 0.6563 0.1563
CELL_PARAMETERS angstrom
-1.1907 1.4950 -3.3838
-10.8943 3.0731 5.1911
4.6728 11.0762 3.2495
```